# 1
Material: PtSe2Br
Method: DFT, PBE
State: relaxed

Energy above the most stable polymorph in this dataset (meV per atom): 0
Raw total energy (eV for the cell shown): -15.8

a b c (Å): 4.7631 3.7895 5.4988
angles (deg): 90.00 106.33 90.00
Last column: nearest neighbours and their distance in Å.
Sites, in units of the cell vectors:
1 Pt 0.0000 0.0000 0.0000  4 Se 2.51, 2 Br 2.75
2 Se 0.3531 0.5000 0.1484  1 Se 2.43, 2 Pt 2.51
3 Se 0.6469 0.5000 0.8516  1 Se 2.43, 2 Pt 2.51
4 Br 0.0000 0.0000 0.5000  2 Pt 2.75

# 2
Material: SiPtSeBr2
Method: DFT, PBE
State: relaxed

Energy above the most stable polymorph in this dataset (meV per atom): 0
Raw total energy (eV for the cell shown): -15.8

a b c (Å): 5.0745 5.0745 5.0385
angles (deg): 90.00 90.00 90.00
Last column: nearest neighbours and their distance in Å.
Sites, in units of the cell vectors:
1 Si 0.0000 0.0000 0.0000  8 Br 3.58, 4 Se 3.59
2 Pt 0.5000 0.5000 0.5000  2 Se 2.52, 4 Br 2.54
3 Se 0.5000 0.5000 0.0000  2 Pt 2.52
4 Br 0.0000 0.5000 0.5000  2 Pt 2.54
5 Br 0.5000 0.0000 0.5000  2 Pt 2.54

# 3
Material: SiPtSeBr2
Method: DFT, PBE
State: relaxed

Energy above the most stable polymorph in this dataset (meV per atom): 215
Raw total energy (eV for the cell shown): -14.8

a b c (Å): 4.8340 4.8340 5.1608
angles (deg): 90.00 90.00 90.00
Last column: nearest neighbours and their distance in Å.
Sites, in units of the cell vectors:
1 Si 0.0000 0.0000 0.0000  4 Br 2.42, 2 Se 2.58
2 Pt 0.5000 0.5000 0.5000  4 Se 3.42, 8 Br 3.54
3 Se 0.0000 0.0000 0.5000  2 Si 2.58
4 Br 0.0000 0.5000 0.0000  2 Si 2.42
5 Br 0.5000 0.0000 0.0000  2 Si 2.42

# 4
Material: Sm8Pt3Se4Br
Method: DFT, PBE
State: relaxed

Raw total energy (eV for the cell shown): -94.9

a b c (Å): 8.5675 8.5675 8.5675
angles (deg): 57.65 57.65 57.65
Last column: nearest neighbours and their distance in Å.
Sites, in units of the cell vectors:
1 Sm 0.2344 0.7556 0.7556  3 Se 2.91-3.04, 2 Pt 2.92, 1 Br 3.04
2 Sm 0.2425 0.2425 0.2425  3 Pt 2.88, 3 Se 3.07
3 Sm 0.2444 0.2444 0.7656  3 Se 2.91-3.04, 2 Pt 2.92, 1 Br 3.04
4 Sm 0.2444 0.7656 0.2444  3 Se 2.91-3.04, 2 Pt 2.92, 1 Br 3.04
5 Sm 0.7556 0.2344 0.7556  3 Se 2.91-3.04, 2 Pt 2.92, 1 Br 3.04
6 Sm 0.7556 0.7556 0.2344  3 Se 2.91-3.04, 2 Pt 2.92, 1 Br 3.04
7 Sm 0.7575 0.7575 0.7575  3 Pt 2.88, 3 Se 3.07
8 Sm 0.7656 0.2444 0.2444  3 Se 2.91-3.04, 2 Pt 2.92, 1 Br 3.04
9 Pt 0.0000 0.0000 0.5000  6 Sm 2.88-2.92
10 Pt 0.0000 0.5000 0.0000  6 Sm 2.88-2.92
11 Pt 0.5000 0.0000 0.0000  6 Sm 2.88-2.92
12 Se 0.0000 0.0000 0.0000  6 Sm 2.91
13 Se 0.0000 0.5000 0.5000  6 Sm 3.04-3.07
14 Se 0.5000 0.0000 0.5000  6 Sm 3.04-3.07
15 Se 0.5000 0.5000 0.0000  6 Sm 3.04-3.07
16 Br 0.5000 0.5000 0.5000  6 Sm 3.04

# 5
Material: SnPtSe2Br
Method: DFT, PBE
State: relaxed

Energy above the most stable polymorph in this dataset (meV per atom): 0
Raw total energy (eV for the cell shown): -18.4

a b c (Å): 5.0212 5.0212 5.1206
angles (deg): 90.00 90.00 90.00
Last column: nearest neighbours and their distance in Å.
Sites, in units of the cell vectors:
1 Sn 0.0000 0.0000 0.0000  4 Br 3.55, 8 Se 3.59
2 Pt 0.5000 0.5000 0.5000  4 Se 2.51, 2 Br 2.56
3 Se 0.0000 0.5000 0.5000  2 Pt 2.51
4 Se 0.5000 0.0000 0.5000  2 Pt 2.51
5 Br 0.5000 0.5000 0.0000  2 Pt 2.56

# 6
Material: SrPtSe2Br
Method: DFT, PBE
State: relaxed

Energy above the most stable polymorph in this dataset (meV per atom): 1282
Raw total energy (eV for the cell shown): -13.6

a b c (Å): 5.9164 5.9164 5.6764
angles (deg): 90.00 90.00 90.00
Last column: nearest neighbours and their distance in Å.
Sites, in units of the cell vectors:
1 Sr 0.0000 0.0000 0.0000  2 Br 2.84, 4 Se 2.96
2 Pt 0.5000 0.5000 0.5000  8 Se 4.10, 4 Br 4.18
3 Se 0.0000 0.5000 0.0000  2 Sr 2.96
4 Se 0.5000 0.0000 0.0000  2 Sr 2.96
5 Br 0.0000 0.0000 0.5000  2 Sr 2.84

# 7
Material: SrPtSe2Br
Method: DFT, PBE
State: relaxed

Energy above the most stable polymorph in this dataset (meV per atom): 0
Raw total energy (eV for the cell shown): -20.0

a b c (Å): 5.0719 5.0719 5.1833
angles (deg): 90.00 90.00 90.00
Last column: nearest neighbours and their distance in Å.
Sites, in units of the cell vectors:
1 Sr 0.0000 0.0000 0.0000  4 Br 3.59, 8 Se 3.63
2 Pt 0.5000 0.5000 0.5000  4 Se 2.54, 2 Br 2.59
3 Se 0.0000 0.5000 0.5000  2 Pt 2.54
4 Se 0.5000 0.0000 0.5000  2 Pt 2.54
5 Br 0.5000 0.5000 0.0000  2 Pt 2.59

# 8
Material: TaPtSe2Br
Method: DFT, PBE
State: relaxed

Energy above the most stable polymorph in this dataset (meV per atom): 0
Raw total energy (eV for the cell shown): -24.1

a b c (Å): 5.0097 5.0097 5.0057
angles (deg): 90.00 90.00 90.00
Last column: nearest neighbours and their distance in Å.
Sites, in units of the cell vectors:
1 Ta 0.0000 0.0000 0.0000  2 Br 2.50, 4 Se 2.50
2 Pt 0.5000 0.5000 0.5000  8 Se 3.54, 4 Br 3.54
3 Se 0.0000 0.5000 0.0000  2 Ta 2.50
4 Se 0.5000 0.0000 0.0000  2 Ta 2.50
5 Br 0.0000 0.0000 0.5000  2 Ta 2.50

# 9
Material: TaPtSe2Br
Method: DFT, PBE
State: relaxed

Energy above the most stable polymorph in this dataset (meV per atom): 425
Raw total energy (eV for the cell shown): -21.9

a b c (Å): 4.9386 4.9386 4.9550
angles (deg): 90.00 90.00 90.00
Last column: nearest neighbours and their distance in Å.
Sites, in units of the cell vectors:
1 Ta 0.0000 0.0000 0.0000  4 Br 3.49, 8 Se 3.50
2 Pt 0.5000 0.5000 0.5000  4 Se 2.47, 2 Br 2.48
3 Se 0.0000 0.5000 0.5000  2 Pt 2.47
4 Se 0.5000 0.0000 0.5000  2 Pt 2.47
5 Br 0.5000 0.5000 0.0000  2 Pt 2.48

# 10
Material: TaPtSeBr2
Method: DFT, PBE
State: relaxed

Energy above the most stable polymorph in this dataset (meV per atom): 429
Raw total energy (eV for the cell shown): -19.9

a b c (Å): 5.0186 5.0186 5.0328
angles (deg): 90.00 90.00 90.00
Last column: nearest neighbours and their distance in Å.
Sites, in units of the cell vectors:
1 Ta 0.0000 0.0000 0.0000  4 Se 3.55, 8 Br 3.55
2 Pt 0.5000 0.5000 0.5000  4 Br 2.51, 2 Se 2.52
3 Se 0.5000 0.5000 0.0000  2 Pt 2.52
4 Br 0.0000 0.5000 0.5000  2 Pt 2.51
5 Br 0.5000 0.0000 0.5000  2 Pt 2.51

# 11
Material: TaPtSeBr2
Method: DFT, PBE
State: relaxed

Energy above the most stable polymorph in this dataset (meV per atom): 0
Raw total energy (eV for the cell shown): -22.0

a b c (Å): 5.0496 5.0496 5.0292
angles (deg): 90.00 90.00 90.00
Last column: nearest neighbours and their distance in Å.
Sites, in units of the cell vectors:
1 Ta 0.0000 0.0000 0.0000  2 Se 2.51, 4 Br 2.52
2 Pt 0.5000 0.5000 0.5000  8 Br 3.56, 4 Se 3.57
3 Se 0.0000 0.0000 0.5000  2 Ta 2.51
4 Br 0.0000 0.5000 0.0000  2 Ta 2.52
5 Br 0.5000 0.0000 0.0000  2 Ta 2.52

# 12
Material: Tb4PtSe2Br
Method: DFT, PBE
State: relaxed

Raw total energy (eV for the cell shown): -44.9

a b c (Å): 7.2754 3.9906 7.2977
angles (deg): 90.00 107.78 90.00
Last column: nearest neighbours and their distance in Å.
Sites, in units of the cell vectors:
1 Tb 0.2251 0.0000 0.2343  2 Pt 2.81, 3 Se 2.89-3.06, 1 Br 3.00
2 Tb 0.2268 0.5000 0.7390  3 Se 2.83-3.02, 1 Pt 2.88, 2 Br 3.04
3 Tb 0.7732 0.5000 0.2610  3 Se 2.83-3.02, 1 Pt 2.88, 2 Br 3.04
4 Tb 0.7749 0.0000 0.7657  2 Pt 2.81, 3 Se 2.89-3.06, 1 Br 3.00
5 Pt 0.0000 0.5000 0.0000  6 Tb 2.81-2.88
6 Se 0.0000 0.0000 0.5000  6 Tb 2.83-2.89
7 Se 0.5000 0.5000 0.5000  6 Tb 3.02-3.06
8 Br 0.5000 0.0000 0.0000  6 Tb 3.00-3.04

Number 1: E_form (uncorrected) -1.13 eV per formula unit, calculated volume 23.81 A^3/atom. Number 2: E_form (uncorrected) 2.47 eV per formula unit, calculated volume 25.95 A^3/atom. Number 3: E_form (uncorrected) 3.54 eV per formula unit, calculated volume 24.12 A^3/atom. Number 4: E_form (uncorrected) -23.46 eV per formula unit, calculated volume 26.29 A^3/atom. Number 5: E_form (uncorrected) 0.31 eV per formula unit, calculated volume 25.82 A^3/atom. Number 6: E_form (uncorrected) 2.79 eV per formula unit, calculated volume 39.74 A^3/atom. Number 7: E_form (uncorrected) -3.63 eV per formula unit, calculated volume 26.67 A^3/atom. Number 8: E_form (uncorrected) 2.48 eV per formula unit, calculated volume 25.13 A^3/atom. Number 9: E_form (uncorrected) 4.61 eV per formula unit, calculated volume 24.17 A^3/atom. Number 10: E_form (uncorrected) 4.84 eV per formula unit, calculated volume 25.35 A^3/atom. Number 11: E_form (uncorrected) 2.69 eV per formula unit, calculated volume 25.65 A^3/atom. Number 12: E_form (uncorrected) -11.67 eV per formula unit, calculated volume 25.22 A^3/atom.